Entry a
Here is crystalline Cu2Ag at its relaxed geometry from the Open Quantum Materials Database. Energies are from GGA-PBE.

Cell and atoms, written as POSCAR:
```
Cu2Ag
1.0
-12.496 -0.155 2.910
-12.341 3.504 0.228
12.008 -3.435 -2.941
Ag Cu
3 6
Direct
0.000 0.000 0.000
0.431 0.431 0.000
0.569 0.569 0.000
0.127 0.127 0.000
0.225 0.225 0.000
0.324 0.324 0.000
0.676 0.676 0.000
0.775 0.775 0.000
0.873 0.873 0.000
```

## Properties
* space-group type: Immm, No. 71



Entry b
Here is crystalline Cu2Ag at its relaxed geometry from the Open Quantum Materials Database. Energies are from GGA-PBE.

Cell and atoms, written as POSCAR:
```
Cu2Ag
1.0
5.617 -1.373 0.000
5.617 1.373 0.000
-2.079 0.000 8.097
Ag Cu
3 6
Direct
0.342 0.342 0.105
0.657 0.657 0.221
0.668 0.668 0.563
0.992 0.992 0.349
0.341 0.341 0.454
0.993 0.993 0.671
0.339 0.339 0.782
0.664 0.664 0.879
0.004 0.004 0.976
```

## Properties
* space-group type: Cm, No. 8



Of them, the most stable is entry a and the least stable is entry b.



Entry a
Here is crystalline LiCd2Pt at its relaxed geometry from the Open Quantum Materials Database. Energies are from GGA-PBE.

Cell and atoms, written as POSCAR:
```
LiCd2Pt
1.0
1.355 2.710 -3.061
-4.206 -0.805 0.454
-0.707 7.028 5.910
Cd Li Pt
4 2 2
Direct
0.333 0.667 0.088
0.333 0.667 0.412
0.667 0.333 0.588
0.667 0.333 0.912
0.667 0.333 0.250
0.333 0.667 0.750
0.000 0.000 0.250
0.000 0.000 0.750
```

## Properties
* space-group type: P6_3/mmc, No. 194



Entry b
Here is crystalline LiCd2Pt at its relaxed geometry from the Open Quantum Materials Database. Energies are from GGA-PBE.

Cell and atoms, written as POSCAR:
```
LiCd2Pt
1.0
-0.765 2.489 -3.788
-2.025 -5.351 -3.107
-12.893 2.438 4.207
Cd Li Pt
12 6 6
Direct
0.500 0.250 0.000
0.500 0.750 0.000
0.000 0.250 0.167
0.000 0.750 0.167
0.500 0.250 0.333
0.500 0.750 0.333
0.000 0.250 0.500
0.000 0.750 0.500
0.500 0.250 0.667
0.500 0.750 0.667
0.000 0.250 0.833
0.000 0.750 0.833
0.000 0.500 0.000
0.500 0.000 0.167
0.000 0.500 0.333
0.500 0.000 0.500
0.000 0.500 0.667
0.500 0.000 0.833
0.000 0.000 0.000
0.500 0.500 0.167
0.000 0.000 0.333
0.500 0.500 0.500
0.000 0.000 0.667
0.500 0.500 0.833
```

## Properties
* space-group type: I4/mmm, No. 139



Of them, the most stable is entry b and the least stable is entry a.



Entry a
Here is crystalline HfBeSi at its relaxed geometry from the Open Quantum Materials Database. Energies are from GGA-PBE.

Cell and atoms, written as POSCAR:
```
HfBeSi
1.0
6.914 0.000 0.000
0.000 3.685 0.000
0.000 0.000 7.310
Be Hf Si
4 4 4
Direct
0.976 0.750 0.230
0.476 0.750 0.270
0.524 0.250 0.730
0.024 0.250 0.770
0.680 0.250 0.076
0.180 0.250 0.424
0.820 0.750 0.576
0.320 0.750 0.924
0.085 0.250 0.077
0.585 0.250 0.423
0.415 0.750 0.577
0.915 0.750 0.923
```

## Properties
* space-group type: Pnma, No. 62



Entry b
Here is crystalline HfBeSi at its relaxed geometry from the Open Quantum Materials Database. Energies are from GGA-PBE.

Cell and atoms, written as POSCAR:
```
HfBeSi
1.0
4.529 0.000 0.000
-2.264 3.922 0.000
0.000 0.000 5.209
Be Hf Si
2 2 2
Direct
0.000 0.000 0.000
0.000 0.000 0.500
0.667 0.333 0.250
0.333 0.667 0.750
0.333 0.667 0.250
0.667 0.333 0.750
```

## Properties
* space-group type: P6_3/mmc, No. 194



Of them, the most stable is entry a and the least stable is entry b.



Entry a
Here is crystalline TmNiB at its relaxed geometry from the Open Quantum Materials Database. Energies are from GGA-PBE.

Cell and atoms, written as POSCAR:
```
TmNiB
1.0
0.000 2.870 2.870
2.870 0.000 2.870
2.870 2.870 0.000
B Ni Tm
1 1 1
Direct
0.250 0.250 0.250
0.000 0.000 0.000
0.750 0.750 0.750
```

## Properties
* space-group type: F-43m, No. 216



Entry b
Here is crystalline TmNiB at its relaxed geometry from the Open Quantum Materials Database. Energies are from GGA-PBE.

Cell and atoms, written as POSCAR:
```
TmNiB
1.0
0.000 2.985 2.985
2.985 0.000 2.985
2.985 2.985 0.000
B Ni Tm
1 1 1
Direct
0.250 0.250 0.250
0.750 0.750 0.750
0.000 0.000 0.000
```

## Properties
* space-group type: F-43m, No. 216



Of them, the most stable is entry a and the least stable is entry b.



Entry a
Here is crystalline SrDyPO at its relaxed geometry from the Open Quantum Materials Database. Energies are from GGA-PBE.

Cell and atoms, written as POSCAR:
```
SrDyPO
1.0
4.352 0.000 0.000
0.000 4.352 0.000
0.000 0.000 9.079
Dy O P Sr
2 2 2 2
Direct
0.250 0.250 0.089
0.750 0.750 0.911
0.750 0.250 0.000
0.250 0.750 0.000
0.750 0.750 0.285
0.250 0.250 0.715
0.750 0.250 0.500
0.250 0.750 0.500
```

## Properties
* space-group type: P4/nmm, No. 129



Entry b
Here is crystalline SrDyPO at its relaxed geometry from the Open Quantum Materials Database. Energies are from GGA-PBE.

Cell and atoms, written as POSCAR:
```
SrDyPO
1.0
-1.588 -2.267 -2.949
-3.379 -3.470 4.487
-5.386 4.511 -0.567
Dy O P Sr
2 2 2 2
Direct
0.000 0.121 0.452
0.000 0.879 0.952
0.500 0.235 0.381
0.500 0.765 0.881
0.000 0.732 0.322
0.000 0.268 0.822
0.500 0.450 0.098
0.500 0.550 0.598
```

## Properties
* space-group type: Pmc2_1, No. 26



Of them, the most stable is entry b and the least stable is entry a.



Entry a
Here is crystalline Cu at its relaxed geometry from the Open Quantum Materials Database. Energies are from GGA-PBE.

Cell and atoms, written as POSCAR:
```
Cu
1.0
6.197 0.000 0.000
0.000 6.197 0.000
0.000 0.000 6.197
Cu
20
Direct
0.875 0.700 0.050
0.059 0.059 0.059
0.200 0.450 0.125
0.809 0.309 0.191
0.450 0.125 0.200
0.550 0.625 0.300
0.191 0.809 0.309
0.800 0.950 0.375
0.941 0.559 0.441
0.125 0.200 0.450
0.625 0.300 0.550
0.441 0.941 0.559
0.300 0.550 0.625
0.691 0.691 0.691
0.050 0.875 0.700
0.950 0.375 0.800
0.309 0.191 0.809
0.700 0.050 0.875
0.559 0.441 0.941
0.375 0.800 0.950
```

## Properties
* space-group type: P4_132, No. 213



Entry b
Here is crystalline Cu at its relaxed geometry from the Open Quantum Materials Database. Energies are from GGA-PBE.

Cell and atoms, written as POSCAR:
```
Cu
1.0
-1.264 1.292 1.796
1.264 -1.292 1.796
1.264 1.292 -1.796
Cu
1
Direct
0.000 0.000 0.000
```

## Properties
* space-group type: Immm, No. 71



Of them, the most stable is entry b and the least stable is entry a.



Entry a
Here is crystalline ZnCuSnW at its relaxed geometry from the Open Quantum Materials Database. Energies are from GGA-PBE.

Cell and atoms, written as POSCAR:
```
ZnCuSnW
1.0
0.000 3.201 3.201
3.201 0.000 3.201
3.201 3.201 0.000
Cu Sn W Zn
1 1 1 1
Direct
0.750 0.750 0.750
0.000 0.000 0.000
0.500 0.500 0.500
0.250 0.250 0.250
```

## Properties
* space-group type: F-43m, No. 216



Entry b
Here is crystalline ZnCuSnW at its relaxed geometry from the Open Quantum Materials Database. Energies are from GGA-PBE.

Cell and atoms, written as POSCAR:
```
ZnCuSnW
1.0
0.000 3.200 3.200
3.200 0.000 3.200
3.200 3.200 0.000
Cu Sn W Zn
1 1 1 1
Direct
0.750 0.750 0.750
0.000 0.000 0.000
0.250 0.250 0.250
0.500 0.500 0.500
```

## Properties
* space-group type: F-43m, No. 216



Of them, the most stable is entry b and the least stable is entry a.



Entry a
Here is crystalline NbGaAsO at its relaxed geometry from the Open Quantum Materials Database. Energies are from GGA-PBE.

Cell and atoms, written as POSCAR:
```
NbGaAsO
1.0
-0.110 3.488 -0.417
-2.077 -0.401 -2.807
-8.240 0.460 6.031
As Ga Nb O
2 2 2 2
Direct
0.000 0.500 0.254
0.500 0.000 0.746
0.000 0.000 0.500
0.500 0.500 0.500
0.500 0.000 0.125
0.000 0.500 0.875
0.000 0.000 0.000
0.500 0.500 0.000
```

## Properties
* space-group type: P4/nmm, No. 129



Entry b
Here is crystalline NbGaAsO at its relaxed geometry from the Open Quantum Materials Database. Energies are from GGA-PBE.

Cell and atoms, written as POSCAR:
```
NbGaAsO
1.0
3.535 0.000 0.000
0.000 3.535 0.000
0.000 0.000 9.896
As Ga Nb O
2 2 2 2
Direct
0.750 0.750 0.256
0.250 0.250 0.744
0.750 0.250 0.500
0.250 0.750 0.500
0.250 0.250 0.128
0.750 0.750 0.872
0.750 0.250 0.000
0.250 0.750 0.000
```

## Properties
* space-group type: P4/nmm, No. 129



Of them, the most stable is entry a and the least stable is entry b.